[1]
Computed, not measured: an optimized crystal structure of Mn3NiTe at the GGA-PBEsol level of DFT.

```
data_Mn3NiTe
_space_group_name_H-M_alt 'P m -3 m'
_space_group_IT_number 221
_space_group_name_Hall '-P 4 2 3'
_cell_length_a 4.7515
_cell_length_b 4.7515
_cell_length_c 4.7515
_cell_angle_alpha 90.00
_cell_angle_beta 90.00
_cell_angle_gamma 90.00
loop_
_atom_site_label
_atom_site_fract_x
_atom_site_fract_y
_atom_site_fract_z
Mn1 0.0000 0.0000 0.5000
Ni1 0.5000 0.5000 0.5000
Te1 0.0000 0.0000 0.0000
```

Formation energy from raw total energies   150.8 kJ per mole of atoms
Crystal system   cubic
Calculated density   5.44 g/cm3

***

[2]
Computed, not measured: an optimized crystal structure of Mg2MoRh at the GGA-PBEsol level of DFT.

```
data_Mg2MoRh
_space_group_name_H-M_alt 'P 4 m m'
_space_group_IT_number 99
_cell_length_a 2.9127
_cell_length_b 2.9127
_cell_length_c 7.9362
_cell_angle_alpha 90.00
_cell_angle_beta 90.00
_cell_angle_gamma 90.00
loop_
_space_group_symop_operation_xyz
'x,y,z'
'-y,x,z'
'-x,-y,z'
'y,-x,z'
'-x,y,z'
'y,x,z'
'x,-y,z'
'-y,-x,z'
loop_
_atom_site_label
_atom_site_fract_x
_atom_site_fract_y
_atom_site_fract_z
Mg1 0.0000 0.0000 0.0000
Mg2 0.5000 0.5000 0.3159
Mo1 0.0000 0.0000 0.5729
Rh1 0.5000 0.5000 0.7778
```

Relative energy among the computed polymorphs   0.00 eV/f.u.
Crystal system   tetragonal
Calculated density   6.10 g/cm3

***

[3]
Computed, not measured: an optimized crystal structure of KTaMn2 at the GGA-PBEsol level of DFT.

```
data_KTaMn2
_space_group_name_H-M_alt 'C 1 2/m 1'
_space_group_IT_number 12
_cell_length_a 9.0744
_cell_length_b 2.9322
_cell_length_c 6.9568
_cell_angle_alpha 90.00
_cell_angle_beta 96.57
_cell_angle_gamma 90.00
loop_
_space_group_symop_operation_xyz
'x,y,z'
'-x,-y,-z'
'-x,y,-z'
'x,-y,z'
'x+1/2,y+1/2,z'
'-x+1/2,-y+1/2,-z'
'-x+1/2,y+1/2,-z'
'x+1/2,-y+1/2,z'
loop_
_atom_site_label
_atom_site_fract_x
_atom_site_fract_y
_atom_site_fract_z
K1 0.0000 0.0000 0.0000
Ta1 0.0000 0.5000 0.5000
Mn1 0.2321 0.0000 0.5974
```

Relative energy among the computed polymorphs   0.00 eV/f.u.
Crystal system   monoclinic
Calculated density   5.96 g/cm3

***

[4]
Computed, not measured: an optimized crystal structure of Nb3Tl2Br9 at the GGA-PBEsol level of DFT.

```
data_Nb3Tl2Br9
_space_group_name_H-M_alt 'C 1 2/m 1'
_space_group_IT_number 12
_cell_length_a 11.0056
_cell_length_b 16.3665
_cell_length_c 9.9704
_cell_angle_alpha 90.00
_cell_angle_beta 117.17
_cell_angle_gamma 90.00
loop_
_space_group_symop_operation_xyz
'x,y,z'
'-x,-y,-z'
'-x,y,-z'
'x,-y,z'
'x+1/2,y+1/2,z'
'-x+1/2,-y+1/2,-z'
'-x+1/2,y+1/2,-z'
'x+1/2,-y+1/2,z'
loop_
_atom_site_label
_atom_site_fract_x
_atom_site_fract_y
_atom_site_fract_z
Nb1 0.1062 0.0000 0.3711
Nb2 0.1305 0.0897 0.6396
Tl1 0.0999 0.3434 0.8340
Br1 0.0000 0.2203 0.5000
Br2 0.0306 0.1102 0.8270
Br3 0.1768 0.5000 0.1585
Br4 0.1940 0.2887 0.1730
Br5 0.2122 0.3890 0.4873
Br6 0.2491 0.0000 0.2024
```

Formation energy from raw total energies   -85.5 kJ per mole of atoms
Crystal system   monoclinic
Calculated density   5.85 g/cm3